(1)
KNa2AlTl: relaxed, GGA-PBE.

Properties
The value obtained for the total energy is -9.2 eV per cell. The formation energy comes out at 0.130 eV per atom. The density of states at the Fermi level comes out at 2.038 states/eV/f.u.

POSCAR file:
```
KNa2AlTl
1.0
-2.315 4.312 -3.436
-0.768 -3.943 -4.430
-4.881 -1.139 1.860
Na Tl K Al
2 1 1 1
direct
0.000 0.500 0.000
0.500 0.000 0.000
0.000 0.000 0.500
0.500 0.500 0.500
0.000 0.000 0.000
```

(2)
Ta2CdCl: relaxed, GGA-PBE.

Properties
The value obtained for the total energy is -26.5 eV per cell. The density of states at the Fermi level comes out at 2.562 states/eV/f.u. The value obtained for the raw formation energy is -3 kJ/mol of formula units.

POSCAR file:
```
Ta2CdCl
1.0
-2.761 0.235 -0.879
-0.081 -2.862 -0.509
-3.207 -1.623 9.641
Cl Cd Ta
1 1 2
direct
0.500 0.500 0.835
0.000 0.000 0.447
0.000 0.000 0.001
0.500 0.500 0.217
```

(3)
CePm2Mg: relaxed, GGA-PBE.

Properties
The value obtained for the total energy is -13.4 eV per cell. The formation energy comes out at 0.899 eV per atom. The density of states at the Fermi level comes out at 7.254 states/eV/f.u.

POSCAR file:
```
CePm2Mg
1.0
-2.102 -1.239 3.373
1.581 -2.956 2.468
4.329 5.451 7.269
Mg Ce Pm
1 1 2
direct
0.000 0.000 0.000
0.500 0.500 0.500
0.112 0.112 0.663
0.888 0.888 0.337
```

(4)
Ba10NaSr6: relaxed, GGA-PBE.

Properties
The value obtained for the total energy is -29.6 eV per cell. The formation energy comes out at 0.063 eV per atom. The density of states at the Fermi level comes out at 25.761 states/eV/f.u.

POSCAR file:
```
Ba10NaSr6
1.0
-6.678 -4.808 2.285
7.402 -8.236 4.302
-3.891 8.747 7.035
Ba Na Sr
10 1 6
direct
0.844 0.682 0.682
0.844 0.000 0.318
0.844 0.318 0.000
0.156 0.318 0.318
0.156 0.000 0.682
0.156 0.682 0.000
0.500 0.333 0.667
0.500 0.667 0.333
0.000 0.667 0.333
0.000 0.333 0.667
0.500 0.000 0.000
0.650 0.341 0.341
0.650 0.000 0.659
0.650 0.659 0.000
0.350 0.659 0.659
0.350 0.000 0.341
0.350 0.341 0.000
```

(5)
GaTcAsI2: relaxed, GGA-PBE.

Properties
The value obtained for the total energy is -17.7 eV per cell. The density of states at the Fermi level comes out at 1.470 states/eV/f.u. The value obtained for the raw formation energy is 332 kJ/mol of formula units.

POSCAR file:
```
GaTcAsI2
1.0
-5.255 1.590 2.787
-2.466 -2.376 -3.295
0.291 -5.090 3.452
I As Tc Ga
2 1 1 1
direct
0.000 0.000 0.500
0.500 0.000 0.000
0.000 0.000 0.000
0.000 0.500 0.000
0.500 0.500 0.500
```

(6)
Na5GaBi3: relaxed, GGA-PBE.

Properties
The value obtained for the total energy is -45.5 eV per cell. The formation energy comes out at -0.164 eV per atom. The density of states at the Fermi level comes out at 0.974 states/eV/f.u.

POSCAR file:
```
Na5GaBi3
1.0
9.358 -0.072 0.749
2.492 9.020 0.749
4.613 3.483 8.586
Na Ga Bi
10 2 6
direct
0.961 0.405 0.356
0.267 0.733 0.000
0.826 0.826 0.921
0.503 0.503 0.272
0.497 0.497 0.728
0.174 0.174 0.079
0.405 0.961 0.356
0.733 0.267 0.000
0.039 0.595 0.644
0.595 0.039 0.644
0.139 0.139 0.618
0.861 0.861 0.382
0.647 0.647 0.853
0.702 0.702 0.326
0.000 0.000 0.000
0.000 0.000 0.500
0.353 0.353 0.147
0.298 0.298 0.674
```

(7)
KCuTc2: relaxed, GGA-PBE.

Properties
The value obtained for the total energy is -22.5 eV per cell. The formation energy comes out at 0.866 eV per atom. The density of states at the Fermi level comes out at 2.857 states/eV/f.u.

POSCAR file:
```
KCuTc2
1.0
-0.310 2.594 0.434
-4.252 -0.446 -0.372
-0.510 -1.292 7.363
Cu K Tc
1 1 2
direct
0.500 0.500 0.250
0.500 0.500 0.750
0.000 0.000 0.104
0.000 0.000 0.396
```

(8)
Dy4Pu3S8: relaxed, GGA-PBE.

Properties
The value obtained for the total energy is -123.6 eV per cell. The density of states at the Fermi level comes out at 24.649 states/eV/f.u. The value obtained for the raw formation energy is -2815 kJ/mol of formula units.

POSCAR file:
```
Dy4Pu3S8
1.0
-6.428 -4.313 -1.272
4.157 -1.023 6.574
-0.677 7.649 1.607
Dy Pu S
4 3 8
direct
0.500 0.000 0.000
0.000 0.500 0.000
0.000 0.000 0.000
0.000 0.000 0.500
0.500 0.500 0.000
0.500 0.000 0.500
0.500 0.500 0.500
0.496 0.247 0.247
0.000 0.751 0.249
0.995 0.247 0.247
0.500 0.751 0.249
0.500 0.249 0.751
0.005 0.753 0.753
0.000 0.249 0.751
0.504 0.753 0.753
```